The following is a PBE calculation of Li2GaAg3 after structural relaxation, from Alexandria via LeMat-Bulk.

Summary:
Relative energy among the computed polymorphs ... 0.0 meV per atom
Energy relative to the elements ... -185 meV per atom

POSCAR file:
```
Li2GaAg3
1.0
2.258 -6.842 0.000
2.258 6.842 0.000
0.000 0.000 6.298
Li Ga Ag
4 2 6
Cartesian
0.000 0.000 0.000
0.000 0.000 3.149
2.258 2.244 0.000
2.258 -2.244 0.000
2.258 2.172 3.149
2.258 -2.172 3.149
2.258 4.525 1.533
2.258 4.525 4.765
2.258 0.000 1.518
2.258 0.000 4.780
2.258 -4.525 1.533
2.258 -4.525 4.765
```

---

The following is a PBE calculation of Li3Ga4Ag2 after structural relaxation, from Alexandria via LeMat-Bulk.

Summary:
Relative energy among the computed polymorphs ... 0.0 meV per atom
Energy relative to the elements ... -248 meV per atom

POSCAR file:
```
Li3Ga4Ag2
1.0
4.807 -2.238 0.000
4.807 2.238 0.000
-4.653 0.000 7.076
Li Ga Ag
3 4 2
Cartesian
0.000 0.000 0.000
1.662 0.000 2.367
3.299 0.000 4.709
-1.292 0.000 2.782
-1.709 0.000 6.689
6.670 0.000 0.387
6.254 0.000 4.294
0.368 0.000 5.096
4.594 0.000 1.980
```

---

The following is a PBE calculation of Li4Ga3Ag2 after structural relaxation, from Alexandria via LeMat-Bulk.

Summary:
Relative energy among the computed polymorphs ... 0.0 meV per atom
Energy relative to the elements ... -240 meV per atom

POSCAR file:
```
Li4Ga3Ag2
1.0
4.307 -2.071 0.000
4.307 2.071 0.000
-2.390 0.000 8.027
Li Ga Ag
4 3 2
Cartesian
-0.681 0.000 2.659
2.658 0.000 0.873
3.567 0.000 7.154
6.906 0.000 5.368
0.000 0.000 0.000
1.859 0.000 3.565
4.366 0.000 4.462
0.888 0.000 6.208
5.337 0.000 1.819
```

---

The following is a PBE calculation of Li3Ga4Ag4 after structural relaxation, from Alexandria via LeMat-Bulk.

Summary:
Relative energy among the computed polymorphs ... 0.0 meV per atom
Energy relative to the elements ... -181 meV per atom

POSCAR file:
```
Li3Ga4Ag4
1.0
2.884 0.000 0.000
0.006 4.556 0.000
0.069 2.216 13.874
Li Ga Ag
3 4 4
Cartesian
0.000 0.000 0.000
0.702 2.265 3.993
2.241 4.507 9.878
0.765 4.520 7.413
0.919 4.552 2.471
2.034 2.220 11.403
2.178 2.251 6.461
0.735 2.234 9.008
0.863 4.498 12.492
2.079 2.274 1.376
2.211 4.537 4.867
```

---

The following is a PBE calculation of LiGa8Ag2 after structural relaxation, from Alexandria via LeMat-Bulk.

Summary:
Energy relative to the elements ... 2 meV per atom

POSCAR file:
```
LiGa8Ag2
1.0
5.693 -3.780 0.000
5.693 3.780 0.000
-1.055 0.000 4.883
Li Ga Ag
1 8 2
Cartesian
0.000 0.000 0.000
4.765 1.536 1.032
2.608 0.000 0.459
5.567 1.536 3.851
3.450 0.000 3.198
6.882 0.000 1.685
4.765 -1.536 1.032
7.723 0.000 4.424
5.567 -1.536 3.851
0.876 0.000 2.588
9.456 0.000 2.295
```

---

The following is a PBE calculation of LiGa8Ag3 after structural relaxation, from Alexandria via LeMat-Bulk.

Summary:
Energy relative to the elements ... 110 meV per atom

POSCAR file:
```
LiGa8Ag3
1.0
-3.503 3.503 4.873
3.503 -3.503 4.873
3.503 3.503 -4.873
Li Ga Ag
1 8 3
Cartesian
0.000 0.000 0.000
0.957 -0.957 2.037
1.816 -1.816 4.304
1.687 1.687 0.568
-0.957 0.957 2.037
2.545 2.545 2.836
-1.816 1.816 4.304
1.816 1.816 5.441
0.957 0.957 7.709
3.503 0.000 2.436
0.000 0.000 4.873
0.000 3.503 2.436
```

---

The following is a PBE calculation of Li14GaAg after structural relaxation, from Alexandria via LeMat-Bulk.

Summary:
Energy relative to the elements ... -70 meV per atom

POSCAR file:
```
Li14GaAg
1.0
9.208 0.000 0.000
0.000 3.514 4.505
0.000 -3.514 4.505
Li Ga Ag
14 1 1
Cartesian
0.000 0.000 0.000
0.000 0.000 4.408
0.000 -1.689 6.707
0.000 1.689 6.707
2.371 0.000 2.193
2.460 -1.763 4.404
2.459 0.000 6.620
2.460 1.763 4.404
4.604 -1.804 6.647
4.604 1.804 6.647
6.748 -1.763 4.404
6.749 0.000 6.620
6.748 1.763 4.404
6.837 0.000 2.193
4.604 0.000 4.415
4.604 0.000 8.876
```

---

The following is a PBE calculation of Li2Ga8Ag after structural relaxation, from Alexandria via LeMat-Bulk.

Summary:
Relative energy among the computed polymorphs ... 19.4 meV per atom
Energy relative to the elements ... -96 meV per atom

POSCAR file:
```
Li2Ga8Ag
1.0
8.514 -2.043 0.000
8.514 2.043 0.000
-0.751 0.000 5.726
Li Ga Ag
2 8 1
Cartesian
3.423 0.000 0.666
12.853 0.000 5.061
0.360 0.000 1.225
2.886 0.000 3.572
5.619 0.000 3.845
6.349 0.000 0.873
9.927 0.000 4.853
10.657 0.000 1.881
13.390 0.000 2.154
15.916 0.000 4.502
8.138 0.000 2.863
```

---

The following is a PBE calculation of Li2Ga2Ag after structural relaxation, from Alexandria via LeMat-Bulk.

Summary:
Relative energy among the computed polymorphs ... 198.5 meV per atom
Energy relative to the elements ... -66 meV per atom

POSCAR file:
```
Li2Ga2Ag
1.0
-1.817 1.817 6.563
1.817 -1.817 6.563
1.817 1.817 -6.563
Li Ga Ag
2 2 1
Cartesian
1.817 0.000 3.281
0.000 1.817 3.281
0.000 0.000 1.288
0.000 0.000 11.837
0.000 0.000 6.563
```

---

The following is a PBE calculation of LiGa12Ag6 after structural relaxation, from Alexandria via LeMat-Bulk.

Summary:
Relative energy among the computed polymorphs ... 0.0 meV per atom
Energy relative to the elements ... 1 meV per atom

POSCAR file:
```
LiGa12Ag6
1.0
4.991 2.881 3.990
-4.991 2.881 3.990
0.000 -5.763 3.990
Li Ga Ag
1 12 6
Cartesian
0.000 0.000 0.000
-0.488 -1.586 2.227
-1.130 1.216 2.227
-1.325 -1.229 4.881
1.618 0.370 2.227
-1.727 0.533 7.088
-0.402 1.762 4.881
0.402 -1.762 7.088
1.727 -0.533 4.881
-1.618 -0.370 9.741
1.325 1.229 7.088
1.130 -1.216 9.741
0.488 1.586 9.741
-3.082 0.930 4.521
-2.347 -2.204 7.448
0.735 -3.135 4.521
-0.735 3.135 7.448
2.347 2.204 4.521
3.082 -0.930 7.448
```

---

The following is a PBE calculation of Li3Ga7Ag after structural relaxation, from Alexandria via LeMat-Bulk.

Summary:
Relative energy among the computed polymorphs ... 29.5 meV per atom
Energy relative to the elements ... -80 meV per atom

POSCAR file:
```
Li3Ga7Ag
1.0
4.832 -4.579 0.000
4.832 4.579 0.000
-2.336 0.000 4.631
Li Ga Ag
3 7 1
Cartesian
0.000 0.000 0.000
3.664 2.859 2.316
3.664 -2.859 2.316
1.180 2.346 3.917
0.983 0.000 2.400
6.147 2.346 0.714
3.664 0.000 2.316
1.180 -2.346 3.917
6.345 0.000 2.232
6.147 -2.346 0.714
4.832 0.000 0.000
```

---

The following is a PBE calculation of Li3GaAg3 after structural relaxation, from Alexandria via LeMat-Bulk.

Summary:
Energy relative to the elements ... -165 meV per atom

POSCAR file:
```
Li3GaAg3
1.0
4.475 -4.605 0.000
4.475 4.605 0.000
0.000 0.000 5.923
Li Ga Ag
6 2 6
Cartesian
1.796 0.000 2.961
2.077 0.000 0.000
4.475 2.392 0.000
4.475 -2.392 0.000
6.873 0.000 0.000
7.155 0.000 2.961
4.475 2.415 2.961
4.475 -2.415 2.961
2.238 2.302 1.464
2.238 2.302 4.459
2.238 -2.302 1.464
2.238 -2.302 4.459
4.475 0.000 1.500
4.475 0.000 4.422
```

---

The following is a PBE calculation of LiGa2Ag after structural relaxation, from Alexandria via LeMat-Bulk.

Summary:
Relative energy among the computed polymorphs ... 40.4 meV per atom
Energy relative to the elements ... -144 meV per atom

POSCAR file:
```
LiGa2Ag
1.0
2.851 0.000 0.000
0.000 2.851 0.000
0.000 0.000 8.298
Li Ga Ag
1 2 1
Cartesian
0.000 0.000 0.000
1.425 1.425 2.030
1.425 1.425 6.268
0.000 0.000 4.149
```

---

The following is a PBE calculation of Li5GaAg after structural relaxation, from Alexandria via LeMat-Bulk.

Summary:
Relative energy among the computed polymorphs ... 10.2 meV per atom
Energy relative to the elements ... -103 meV per atom

POSCAR file:
```
Li5GaAg
1.0
4.740 -2.949 0.000
4.740 2.949 0.000
-3.912 0.000 8.759
Li Ga Ag
10 2 2
Cartesian
1.806 2.619 6.569
-0.417 0.520 6.414
2.016 1.068 4.469
1.539 -0.520 2.034
1.596 1.068 8.669
3.971 -1.068 0.089
4.028 0.520 6.725
3.552 -1.068 4.290
5.984 -0.520 2.345
3.762 -2.619 2.190
2.370 1.475 0.000
0.414 -1.475 4.379
3.762 0.745 2.190
1.806 -0.745 6.569
```

---

The following is a PBE calculation of Li2GaAg2 after structural relaxation, from Alexandria via LeMat-Bulk.

Summary:
Relative energy among the computed polymorphs ... 265.4 meV per atom
Energy relative to the elements ... 49 meV per atom

POSCAR file:
```
Li2GaAg2
1.0
-1.823 1.823 6.868
1.823 -1.823 6.868
1.823 1.823 -6.868
Li Ga Ag
2 1 2
Cartesian
1.823 0.000 3.434
0.000 1.823 3.434
0.000 0.000 0.000
0.000 0.000 5.463
0.000 0.000 8.273
```

---

The following is a PBE calculation of Li4Ga3Ag2 after structural relaxation, from Alexandria via LeMat-Bulk.

Summary:
Relative energy among the computed polymorphs ... 4.3 meV per atom
Energy relative to the elements ... -235 meV per atom

POSCAR file:
```
Li4Ga3Ag2
1.0
4.593 0.000 0.000
2.276 4.540 0.000
0.187 1.579 6.845
Li Ga Ag
4 3 2
Cartesian
1.182 1.516 1.118
3.528 4.574 3.377
3.529 1.545 3.469
5.875 4.602 5.727
1.232 3.059 3.423
3.474 2.988 1.145
3.583 3.131 5.701
1.293 1.541 5.670
5.764 4.578 1.175
```

---

The following is a PBE calculation of Li2GaAg5 after structural relaxation, from Alexandria via LeMat-Bulk.

Summary:
Energy relative to the elements ... -160 meV per atom

POSCAR file:
```
Li2GaAg5
1.0
5.589 0.000 0.000
0.000 11.183 0.000
0.000 0.000 4.270
Li Ga Ag
4 2 10
Cartesian
1.166 1.483 0.000
1.628 7.074 0.000
3.961 4.109 0.000
4.423 9.700 0.000
0.000 5.592 2.135
2.794 0.000 2.135
0.000 0.000 2.135
0.279 8.317 2.135
1.193 4.305 0.000
1.602 9.897 0.000
2.515 2.725 2.135
2.794 5.592 2.135
3.073 8.458 2.135
3.987 1.286 0.000
4.396 6.878 0.000
5.310 2.866 2.135
```

---

The following is a PBE calculation of LiGa2Ag5 after structural relaxation, from Alexandria via LeMat-Bulk.

Summary:
Relative energy among the computed polymorphs ... 0.0 meV per atom
Energy relative to the elements ... -70 meV per atom

POSCAR file:
```
LiGa2Ag5
1.0
-3.305 3.305 3.125
3.305 -3.305 3.125
3.305 3.305 -3.125
Li Ga Ag
1 2 5
Cartesian
0.000 0.000 0.000
3.305 0.000 0.002
0.000 3.305 0.002
1.654 1.654 -1.560
1.651 -1.651 1.564
-1.651 1.651 1.564
1.651 1.651 1.564
0.000 0.000 3.130
```

---

The following is a PBE calculation of LiGa5Ag8 after structural relaxation, from Alexandria via LeMat-Bulk.

Summary:
Energy relative to the elements ... 30 meV per atom

POSCAR file:
```
LiGa5Ag8
1.0
-3.856 3.856 4.318
3.856 -3.856 4.318
3.856 3.856 -4.318
Li Ga Ag
1 5 8
Cartesian
0.000 0.000 0.000
1.763 2.812 -1.633
4.900 1.763 1.633
2.093 1.044 2.684
0.000 3.856 2.159
-1.044 2.093 5.951
2.527 0.561 0.052
4.456 2.507 -1.119
3.295 -1.329 4.265
-0.600 1.349 3.198
2.507 3.257 1.119
0.561 5.185 -0.052
1.349 0.600 5.437
1.329 3.295 4.370
```

---

The following is a PBE calculation of LiGa8Ag6 after structural relaxation, from Alexandria via LeMat-Bulk.

Summary:
Relative energy among the computed polymorphs ... 0.0 meV per atom
Energy relative to the elements ... -23 meV per atom

POSCAR file:
```
LiGa8Ag6
1.0
3.851 2.224 5.392
-3.851 2.224 5.392
0.000 -4.447 5.392
Li Ga Ag
1 8 6
Cartesian
0.000 0.000 0.000
-2.587 0.127 7.615
-1.403 -2.177 8.560
0.000 0.000 3.674
1.183 -2.303 7.615
-1.183 2.303 8.560
0.000 0.000 12.501
1.403 2.177 7.615
2.587 -0.127 8.560
-0.658 -1.647 5.834
-1.097 1.393 5.834
-1.755 -0.254 10.341
1.755 0.254 5.834
1.097 -1.393 10.341
0.658 1.647 10.341
```

---

The following is a PBE calculation of LiGa8Ag6 after structural relaxation, from Alexandria via LeMat-Bulk.

Summary:
Relative energy among the computed polymorphs ... 6.5 meV per atom
Energy relative to the elements ... -17 meV per atom

POSCAR file:
```
LiGa8Ag6
1.0
3.949 2.280 5.267
-3.949 2.280 5.267
0.000 -4.560 5.267
Li Ga Ag
1 8 6
Cartesian
0.000 0.000 0.000
-1.294 -2.369 7.235
-2.698 -0.064 8.566
0.000 0.000 6.358
-1.404 2.305 7.235
1.404 -2.305 8.566
0.000 0.000 9.443
2.698 0.064 7.235
1.294 2.369 8.566
-2.760 -0.120 5.946
-1.276 -2.450 9.854
1.484 -2.330 5.946
-1.484 2.330 9.854
1.276 2.450 5.946
2.760 0.120 9.854
```